Record 1
Entry from Alexandria via LeMat-Bulk: crystalline BaNi2Br at its relaxed geometry (GGA-PBE).

Its formation energy (no corrections) is -167 meV/atom. As for the space group: Cm (8). As for the density of states at the Fermi level: 7.5 states/eV per cell. The value obtained for the total magnetization is 1.0 μB per formula unit. For the distance to the lowest polymorph of the same formula, the calculation gives 0 meV per atom.

a b c (Å): 4.118 4.118 8.415
angles (deg): 62.71 62.71 60.38
Element x y z (fractional)
Ba1 0.489 0.489 0.457
Br1 0.628 0.628 0.769
Ni1 0.021 0.021 0.144
Ni2 0.362 0.362 0.129


Record 2
Entry from Alexandria via LeMat-Bulk: crystalline PrMg9Cd3 at its relaxed geometry (GGA-PBE).

As for the space group: C2/m (12). As for the density of states at the Fermi level: 5.1 states/eV per cell. The value obtained for the total magnetization is 0.0 μB per formula unit. The formation energy comes out at -0.1344 eV per atom.

a b c (Å): 5.939 7.722 7.718
angles (deg): 81.64 67.37 67.80
Element x y z (fractional)
Pr1 0.000 0.000 0.000
Mg1 0.712 0.788 0.786
Mg2 0.288 0.212 0.214
Mg3 0.502 0.212 0.786
Mg4 0.498 0.788 0.214
Mg5 0.648 0.348 0.352
Mg6 0.352 0.652 0.648
Mg7 0.000 0.652 0.352
Mg8 0.000 0.348 0.648
Mg9 0.000 0.500 0.000
Cd1 0.500 0.500 0.000
Cd2 0.000 0.000 0.500
Cd3 0.500 0.000 0.500


Record 3
Entry from Alexandria via LeMat-Bulk: crystalline Pu2BiRu at its relaxed geometry (GGA-PBE).

As for the space group: P4/mmm (123). As for the density of states at the Fermi level: 12.5 states/eV per cell. The value obtained for the total magnetization is 10.4 μB per formula unit. For the distance to the lowest polymorph of the same formula, the calculation gives 205 meV per atom. The formation energy comes out at -0.0617 eV per atom.

a b c (Å): 4.416 4.558 4.558
angles (deg): 90.00 90.00 90.00
Element x y z (fractional)
Ru1 0.500 0.500 0.500
Bi1 0.500 0.000 0.000
Pu1 0.000 0.000 0.500
Pu2 0.000 0.500 0.000


Record 4
Entry from Alexandria via LeMat-Bulk: crystalline TbDyCuAu at its relaxed geometry (GGA-PBE).

As for the space group: F-43m (216). As for the density of states at the Fermi level: 2.3 states/eV per cell. The value obtained for the total magnetization is 0.0 μB per formula unit. The formation energy comes out at -0.5436 eV per atom.

a b c (Å): 5.025 5.025 5.025
angles (deg): 60.00 60.00 60.00
Element x y z (fractional)
Tb1 0.000 0.000 0.000
Au1 0.750 0.750 0.750
Cu1 0.250 0.250 0.250
Dy1 0.500 0.500 0.500


Record 5
Entry from Alexandria via LeMat-Bulk: crystalline SrReMo2 at its relaxed geometry (GGA-PBE).

As for the space group: P4/mmm (123). As for the density of states at the Fermi level: 4.6 states/eV per cell. The value obtained for the total magnetization is 0.0 μB per formula unit. For the distance to the lowest polymorph of the same formula, the calculation gives 473 meV per atom. The formation energy comes out at 1.1478 eV per atom.

a b c (Å): 4.819 4.819 3.103
angles (deg): 90.00 90.00 90.00
Element x y z (fractional)
Mo1 0.000 0.000 0.000
Mo2 0.500 0.500 0.000
Re1 0.500 0.000 0.500
Sr1 0.000 0.500 0.500


Record 6
Entry from Alexandria via LeMat-Bulk: crystalline NdGdZnAu at its relaxed geometry (GGA-PBE).

As for the space group: F-43m (216). As for the density of states at the Fermi level: 3.4 states/eV per cell. The value obtained for the total magnetization is 7.3 μB per formula unit. The formation energy comes out at -0.5487 eV per atom.

a b c (Å): 5.184 5.184 5.184
angles (deg): 60.00 60.00 60.00
Element x y z (fractional)
Nd1 0.250 0.250 0.250
Zn1 0.000 0.000 0.000
Gd1 0.750 0.750 0.750
Au1 0.500 0.500 0.500